(1)
A geometry-optimized SrY3Ru structure. Source: Alexandria via LeMat-Bulk, functional GGA-PBE.

Structure (CIF):
```
data_SrY3Ru
_chemical_formula_sum 'Sr1 Y3 Ru1'
_cell_length_a 7.732
_cell_length_b 7.732
_cell_length_c 7.732
_cell_angle_alpha 51.57
_cell_angle_beta 51.57
_cell_angle_gamma 51.57
_symmetry_space_group_name_H-M 'P 1'
_symmetry_Int_Tables_number 1
_symmetry_space_group_name_Hall 'P 1'
loop_
_atom_site_label
_atom_site_type_symbol
_atom_site_fract_x
_atom_site_fract_y
_atom_site_fract_z
_atom_site_occupancy
Sr1 Sr 0.000 0.000 0.000 1
Y1 Y 0.014 0.014 0.495 1
Y2 Y 0.014 0.495 0.014 1
Y3 Y 0.495 0.014 0.014 1
Ru1 Ru 0.263 0.263 0.263 1
```

Energy of formation from the pure elements in meV/atom: 984
Space-group type: R3m
Fermi-level density of states in states/eV/f.u.: 10.485
E above lowest polymorph in meV per atom: 1160
Crystal system: trigonal

=====

(2)
A geometry-optimized Sc2Cd3Ge3O12 structure. Source: Alexandria via LeMat-Bulk, functional GGA-PBE.

Structure (CIF):
```
data_Sc2Cd3Ge3O12
_chemical_formula_sum 'Sc8 Cd12 Ge12 O48'
_cell_length_a 10.950
_cell_length_b 10.950
_cell_length_c 10.950
_cell_angle_alpha 109.47
_cell_angle_beta 109.47
_cell_angle_gamma 109.47
_symmetry_space_group_name_H-M 'P 1'
_symmetry_Int_Tables_number 1
_symmetry_space_group_name_Hall 'P 1'
loop_
_atom_site_label
_atom_site_type_symbol
_atom_site_fract_x
_atom_site_fract_y
_atom_site_fract_z
_atom_site_occupancy
Sc1 Sc 0.000 0.000 0.000 1
Sc2 Sc 0.000 0.000 0.500 1
Sc3 Sc 0.000 0.500 0.000 1
Sc4 Sc 0.000 0.500 0.500 1
Sc5 Sc 0.500 0.000 0.000 1
Sc6 Sc 0.500 0.000 0.500 1
Sc7 Sc 0.500 0.500 0.000 1
Sc8 Sc 0.500 0.500 0.500 1
Cd1 Cd 0.125 0.250 0.375 1
Cd2 Cd 0.125 0.375 0.750 1
Cd3 Cd 0.250 0.375 0.125 1
Cd4 Cd 0.250 0.875 0.625 1
Cd5 Cd 0.375 0.125 0.250 1
Cd6 Cd 0.375 0.750 0.125 1
Cd7 Cd 0.625 0.250 0.875 1
Cd8 Cd 0.625 0.875 0.750 1
Cd9 Cd 0.750 0.125 0.375 1
Cd10 Cd 0.750 0.625 0.875 1
Cd11 Cd 0.875 0.625 0.250 1
Cd12 Cd 0.875 0.750 0.625 1
Ge1 Ge 0.125 0.750 0.875 1
Ge2 Ge 0.125 0.875 0.250 1
Ge3 Ge 0.250 0.125 0.875 1
Ge4 Ge 0.250 0.625 0.375 1
Ge5 Ge 0.375 0.250 0.625 1
Ge6 Ge 0.375 0.625 0.750 1
Ge7 Ge 0.625 0.375 0.250 1
Ge8 Ge 0.625 0.750 0.375 1
Ge9 Ge 0.750 0.375 0.625 1
Ge10 Ge 0.750 0.875 0.125 1
Ge11 Ge 0.875 0.125 0.750 1
Ge12 Ge 0.875 0.250 0.125 1
O1 O 0.017 0.207 0.122 1
O2 O 0.017 0.311 0.896 1
O3 O 0.085 0.707 0.689 1
O4 O 0.085 0.878 0.396 1
O5 O 0.104 0.622 0.415 1
O6 O 0.104 0.983 0.689 1
O7 O 0.122 0.017 0.207 1
O8 O 0.122 0.604 0.915 1
O9 O 0.189 0.207 0.585 1
O10 O 0.189 0.483 0.604 1
O11 O 0.207 0.122 0.017 1
O12 O 0.207 0.585 0.189 1
O13 O 0.293 0.311 0.915 1
O14 O 0.293 0.483 0.378 1
O15 O 0.311 0.896 0.017 1
O16 O 0.311 0.915 0.293 1
O17 O 0.378 0.293 0.483 1
O18 O 0.378 0.585 0.896 1
O19 O 0.396 0.085 0.878 1
O20 O 0.396 0.811 0.517 1
O21 O 0.415 0.104 0.622 1
O22 O 0.415 0.811 0.793 1
O23 O 0.483 0.378 0.293 1
O24 O 0.483 0.604 0.189 1
O25 O 0.517 0.396 0.811 1
O26 O 0.517 0.622 0.707 1
O27 O 0.585 0.189 0.207 1
O28 O 0.585 0.896 0.378 1
O29 O 0.604 0.189 0.483 1
O30 O 0.604 0.915 0.122 1
O31 O 0.622 0.415 0.104 1
O32 O 0.622 0.707 0.517 1
O33 O 0.689 0.085 0.707 1
O34 O 0.689 0.104 0.983 1
O35 O 0.707 0.517 0.622 1
O36 O 0.707 0.689 0.085 1
O37 O 0.793 0.415 0.811 1
O38 O 0.793 0.878 0.983 1
O39 O 0.811 0.517 0.396 1
O40 O 0.811 0.793 0.415 1
O41 O 0.878 0.396 0.085 1
O42 O 0.878 0.983 0.793 1
O43 O 0.896 0.017 0.311 1
O44 O 0.896 0.378 0.585 1
O45 O 0.915 0.122 0.604 1
O46 O 0.915 0.293 0.311 1
O47 O 0.983 0.689 0.104 1
O48 O 0.983 0.793 0.878 1
```

E_form (uncorrected) in eV/atom: -1.997
Space-group type: Ia-3d
Fermi-level density of states in states/eV/f.u.: 0.000
Crystal system: cubic

=====

(3)
A geometry-optimized HfAgCO5 structure. Source: Alexandria via LeMat-Bulk, functional GGA-PBE.

Structure (CIF):
```
data_HfAgCO5
_chemical_formula_sum 'Hf2 Ag2 C2 O10'
_cell_length_a 5.433
_cell_length_b 5.433
_cell_length_c 7.484
_cell_angle_alpha 107.16
_cell_angle_beta 107.16
_cell_angle_gamma 99.22
_symmetry_space_group_name_H-M 'P 1'
_symmetry_Int_Tables_number 1
_symmetry_space_group_name_Hall 'P 1'
loop_
_atom_site_label
_atom_site_type_symbol
_atom_site_fract_x
_atom_site_fract_y
_atom_site_fract_z
_atom_site_occupancy
Hf1 Hf 0.000 0.500 0.000 1
Hf2 Hf 0.500 0.000 0.500 1
Ag1 Ag 0.093 0.907 0.750 1
Ag2 Ag 0.907 0.093 0.250 1
C1 C 0.430 0.570 0.750 1
C2 C 0.570 0.430 0.250 1
O1 O 0.162 0.838 0.250 1
O2 O 0.277 0.636 0.876 1
O3 O 0.303 0.344 0.134 1
O4 O 0.344 0.303 0.634 1
O5 O 0.364 0.723 0.624 1
O6 O 0.636 0.277 0.376 1
O7 O 0.656 0.697 0.366 1
O8 O 0.697 0.656 0.866 1
O9 O 0.723 0.364 0.124 1
O10 O 0.838 0.162 0.750 1
```

E_form (uncorrected) in eV/atom: -1.619
Space-group type: C2/c
Fermi-level density of states in states/eV/f.u.: 4.401
Crystal system: monoclinic

=====

(4)
A geometry-optimized Tl2HN structure. Source: Alexandria via LeMat-Bulk, functional GGA-PBE.

Structure (CIF):
```
data_Tl2HN
_chemical_formula_sum 'Tl2 H1 N1'
_cell_length_a 4.504
_cell_length_b 4.504
_cell_length_c 4.504
_cell_angle_alpha 60.00
_cell_angle_beta 60.00
_cell_angle_gamma 60.00
_symmetry_space_group_name_H-M 'P 1'
_symmetry_Int_Tables_number 1
_symmetry_space_group_name_Hall 'P 1'
loop_
_atom_site_label
_atom_site_type_symbol
_atom_site_fract_x
_atom_site_fract_y
_atom_site_fract_z
_atom_site_occupancy
Tl1 Tl 0.250 0.250 0.250 1
Tl2 Tl 0.750 0.750 0.750 1
H1 H 0.000 0.000 0.000 1
N1 N 0.500 0.500 0.500 1
```

Space-group type: Fm-3m
Fermi-level density of states in states/eV/f.u.: 0.790
E above lowest polymorph in meV per atom: 339
Crystal system: cubic

=====

Q: What is the Fermi-level density of states in the second record?
A: 0.000 states/eV/f.u.

=====

Copy entry 1 word for word.
A geometry-optimized SrY3Ru structure. Source: Alexandria via LeMat-Bulk, functional GGA-PBE.

Structure (CIF):
```
data_SrY3Ru
_chemical_formula_sum 'Sr1 Y3 Ru1'
_cell_length_a 7.732
_cell_length_b 7.732
_cell_length_c 7.732
_cell_angle_alpha 51.57
_cell_angle_beta 51.57
_cell_angle_gamma 51.57
_symmetry_space_group_name_H-M 'P 1'
_symmetry_Int_Tables_number 1
_symmetry_space_group_name_Hall 'P 1'
loop_
_atom_site_label
_atom_site_type_symbol
_atom_site_fract_x
_atom_site_fract_y
_atom_site_fract_z
_atom_site_occupancy
Sr1 Sr 0.000 0.000 0.000 1
Y1 Y 0.014 0.014 0.495 1
Y2 Y 0.014 0.495 0.014 1
Y3 Y 0.495 0.014 0.014 1
Ru1 Ru 0.263 0.263 0.263 1
```

Energy of formation from the pure elements in meV/atom: 984
Space-group type: R3m
Fermi-level density of states in states/eV/f.u.: 10.485
E above lowest polymorph in meV per atom: 1160
Crystal system: trigonal

=====

Repeat the fourth record exactly.
A geometry-optimized Tl2HN structure. Source: Alexandria via LeMat-Bulk, functional GGA-PBE.

Structure (CIF):
```
data_Tl2HN
_chemical_formula_sum 'Tl2 H1 N1'
_cell_length_a 4.504
_cell_length_b 4.504
_cell_length_c 4.504
_cell_angle_alpha 60.00
_cell_angle_beta 60.00
_cell_angle_gamma 60.00
_symmetry_space_group_name_H-M 'P 1'
_symmetry_Int_Tables_number 1
_symmetry_space_group_name_Hall 'P 1'
loop_
_atom_site_label
_atom_site_type_symbol
_atom_site_fract_x
_atom_site_fract_y
_atom_site_fract_z
_atom_site_occupancy
Tl1 Tl 0.250 0.250 0.250 1
Tl2 Tl 0.750 0.750 0.750 1
H1 H 0.000 0.000 0.000 1
N1 N 0.500 0.500 0.500 1
```

Space-group type: Fm-3m
Fermi-level density of states in states/eV/f.u.: 0.790
E above lowest polymorph in meV per atom: 339
Crystal system: cubic